FeBIr | PBE | relaxed

Geometry as POSCAR:
```
FeBIr
1.0
3.644 0.000 0.000
1.822 3.156 0.000
1.822 1.052 2.975
B Ir Fe
1 1 1
Direct
0.250 0.250 0.250 B
0.000 0.000 0.000 Ir
0.500 0.500 0.500 Fe
```

symmetry	F-43m, No. 216

Fe9B4Ir3 | PBE | relaxed

Geometry as POSCAR:
```
Fe9B4Ir3
1.0
6.945 0.000 0.000
0.000 4.462 -0.005
0.000 -0.002 5.442
Fe B Ir
9 4 3
Direct
0.185 0.647 0.326 Fe
0.811 0.859 0.818 Fe
0.694 0.359 0.676 Fe
0.305 0.143 0.178 Fe
0.306 0.359 0.676 Fe
0.695 0.143 0.178 Fe
0.815 0.647 0.326 Fe
0.189 0.859 0.818 Fe
0.000 0.125 0.474 Fe
0.000 0.915 0.119 B
0.000 0.575 0.620 B
0.500 0.086 0.883 B
0.500 0.414 0.381 B
0.000 0.366 0.973 Ir
0.500 0.873 0.526 Ir
0.500 0.631 0.029 Ir
```

symmetry	Pm, No. 6

FeB2Ir2 | PBE | relaxed

Geometry as POSCAR:
```
FeB2Ir2
1.0
-0.034 1.819 6.035
-1.514 -5.861 1.758
2.618 -0.616 0.200
B Ir Fe
4 4 2
Direct
0.353 0.853 0.000 B
0.853 0.647 0.000 B
0.647 0.147 0.000 B
0.147 0.353 0.000 B
0.154 0.654 0.500 Ir
0.654 0.846 0.500 Ir
0.846 0.346 0.500 Ir
0.346 0.154 0.500 Ir
0.000 0.000 0.000 Fe
0.500 0.500 0.000 Fe
```

symmetry	P4/mbm, No. 127

Respective total magnetization values: 2.18 20.71 3.03 μB per formula unit.
Respective VASP energy values: -24.159 -132.811 -79.349 eV per cell.
Respective formation enthalpy at 0 K values: -53 -210 -27 meV per atom.